Material: PrSm2Cd2Hg2
Method: DFT, GGA-PBE
State: optimized geometry

The space group is R-3m (No. 166, hexagonal axes) and the conventional cell measures 5.0004, 5.0004 and 27.0989 Å, with angles of 90.00, 90.00 and 120.00 degrees. The distinct sites, in fractional coordinates, are Pr at (0.0000, 0.0000, 0.0000), Sm at (0.0000, 0.0000, 0.1256), Cd at (0.0000, 0.0000, 0.2580) and Hg at (0.0000, 0.0000, 0.4002).

For the spin magnetization, the calculation gives 0.00 μB/f.u. As for the total energy: -2.655 eV per atom. For the formation enthalpy at 0 K, the calculation gives -26.7 kJ/mol of atoms.